No. 1
# Pa2FeNiN5

A geometry-optimized Pa2FeNiN5 structure (PBE-GGA, the Alexandria database).

Unit cell a=3.2721 b=12.8086 c=9.5756 alpha=90.00 beta=90.00 gamma=90.00
Last column: nearest neighbours and their distance in Å.
Space group Cmc2_1 (No. 36)
One atom of each set of equivalent atoms:
Pa (0.0000, 0.0981, 0.0000)  6 N 2.31-2.40
Pa (0.0000, 0.1517, 0.6262)  7 N 2.27-2.51
Fe (0.0000, 0.2072, 0.3424)  3 N 1.87-2.07
Ni (0.0000, 0.4663, 0.7743)  4 N 1.89-2.00
N (0.0000, 0.0639, 0.3797)  1 Fe 1.87, 2 Ni 1.96
N (0.0000, 0.2775, 0.9737)  2 Fe 2.07, 1 Pa 2.31
N (0.0000, 0.3197, 0.7014)  1 Ni 2.00, 2 Fe 2.15
N (0.0000, 0.3705, 0.3222)  1 Fe 2.10, 1 Ni 2.14
N (0.0000, 0.4846, 0.0877)  1 Ni 1.89

total moment: 0.97 μB per formula unit


No. 2
# Fe2NiPbN

A geometry-optimized Fe2NiPbN structure (PBE-GGA, the Alexandria database).

Unit cell a=3.9575 b=3.9575 c=4.0764 alpha=90.00 beta=90.00 gamma=90.00
Last column: nearest neighbours and their distance in Å.
Space group P4/mmm (No. 123)
One atom of each set of equivalent atoms:
Fe (0.0000, 0.5000, 0.0000)  2 N 1.98
Ni (0.0000, 0.0000, 0.5000)  2 N 2.04
Pb (0.5000, 0.5000, 0.5000)  4 Ni 2.80, 8 Fe 2.84
N (0.0000, 0.0000, 0.0000)  4 Fe 1.98, 2 Ni 2.04

total moment: 5.01 μB per formula unit


No. 3
# FeNi2PdN

A geometry-optimized FeNi2PdN structure (PBE-GGA, the Alexandria database).

Unit cell a=3.8045 b=3.8045 c=3.8600 alpha=90.00 beta=90.00 gamma=90.00
Last column: nearest neighbours and their distance in Å.
Space group P4/mmm (No. 123)
One atom of each set of equivalent atoms:
Fe (0.0000, 0.0000, 0.0000)  2 N 1.93
Ni (0.0000, 0.5000, 0.5000)  2 N 1.90
Pd (0.5000, 0.5000, 0.0000)  4 Fe 2.69, 8 Ni 2.71
N (0.0000, 0.0000, 0.5000)  4 Ni 1.90, 2 Fe 1.93

total moment: 4.00 μB per formula unit


No. 4
# Fe2NiPdN

A geometry-optimized Fe2NiPdN structure (PBE-GGA, the Alexandria database).

Unit cell a=3.8581 b=3.8581 c=3.8194 alpha=90.00 beta=90.00 gamma=90.00
Last column: nearest neighbours and their distance in Å.
Space group P4/mmm (No. 123)
One atom of each set of equivalent atoms:
Fe (0.0000, 0.5000, 0.0000)  2 N 1.93
Ni (0.0000, 0.0000, 0.5000)  2 N 1.91
Pd (0.5000, 0.5000, 0.5000)  8 Fe 2.71, 4 Ni 2.73
N (0.0000, 0.0000, 0.0000)  2 Ni 1.91, 4 Fe 1.93

energy above the lowest structure with this stoichiometry: 0.0 meV/atom
total moment: 6.28 μB per formula unit


| no. | raw formation energy (eV per atom) |
| --- | --- |
| 1 | -0.751 |
| 2 | 0.168 |
| 3 | -0.068 |
| 4 | -0.107 |